No. 1
# La5Mg | the Alexandria database | PBE | optimized geometry
# Energy above the most stable polymorph in this dataset: 35 meV per atom
# ΔH_f (0 K): 0.00 eV per atom
# N(E_F): 9.301 states/eV per cell
# V: 207.54 Å³ per cell
data_La5Mg
_chemical_formula_sum 'La5 Mg1'
_symmetry_space_group_name_H-M 'P -6 2 m'
_symmetry_Int_Tables_number 189
_symmetry_space_group_name_Hall 'P -6 -2'
_cell_length_a 6.3887
_cell_length_b 6.3887
_cell_length_c 5.8716
_cell_angle_alpha 90.00
_cell_angle_beta 90.00
_cell_angle_gamma 120.00
loop_
_atom_site_label
_atom_site_type_symbol
_atom_site_fract_x
_atom_site_fract_y
_atom_site_fract_z
La1 La 0.0000 0.6839 0.0000
La2 La 0.3333 0.6667 0.5000
Mg1 Mg 0.0000 0.0000 0.5000

No. 2
# SrCoPb2 | the Alexandria database | PBE | optimized geometry
# ΔH_f (0 K): 0.04 eV per atom
# N(E_F): 5.912 states/eV per cell
# V: 226.15 Å³ per cell
data_SrCoPb2
_chemical_formula_sum 'Sr2 Co2 Pb4'
_symmetry_space_group_name_H-M 'C m m m'
_symmetry_Int_Tables_number 65
_symmetry_space_group_name_Hall '-C 2 2'
_cell_length_a 5.8353
_cell_length_b 9.7538
_cell_length_c 3.9734
_cell_angle_alpha 90.00
_cell_angle_beta 90.00
_cell_angle_gamma 90.00
loop_
_atom_site_label
_atom_site_type_symbol
_atom_site_fract_x
_atom_site_fract_y
_atom_site_fract_z
Sr1 Sr 0.0000 0.0000 0.0000
Co1 Co 0.0000 0.5000 0.0000
Pb1 Pb 0.0000 0.3251 0.5000

No. 3
# NbRe2Au | the Alexandria database | PBE | optimized geometry
# Energy above the most stable polymorph in this dataset: 302 meV per atom
# ΔH_f (0 K): 0.75 eV per atom
# N(E_F): 16.391 states/eV per cell
# V: 292.66 Å³ per cell
data_NbRe2Au
_chemical_formula_sum 'Nb4 Re8 Au4'
_symmetry_space_group_name_H-M 'I -4 2 d'
_symmetry_Int_Tables_number 122
_symmetry_space_group_name_Hall 'I -4 2bw'
_cell_length_a 3.9064
_cell_length_b 3.9064
_cell_length_c 19.1783
_cell_angle_alpha 90.00
_cell_angle_beta 90.00
_cell_angle_gamma 90.00
loop_
_atom_site_label
_atom_site_type_symbol
_atom_site_fract_x
_atom_site_fract_y
_atom_site_fract_z
Nb1 Nb 0.0000 0.0000 0.0000
Re1 Re 0.1958 0.2500 0.1250
Au1 Au 0.0000 0.0000 0.5000

No. 4
# CeDy6YHo2 | the Alexandria database | PBE | optimized geometry
# ΔH_f (0 K): 0.25 eV per atom
# N(E_F): 43.273 states/eV per cell
# V: 651.36 Å³ per cell
data_CeDy6YHo2
_chemical_formula_sum 'Ce2 Dy12 Y2 Ho4'
_symmetry_space_group_name_H-M 'C 1 2/m 1'
_symmetry_Int_Tables_number 12
_cell_length_a 11.3570
_cell_length_b 6.7125
_cell_length_c 8.9683
_cell_angle_alpha 90.00
_cell_angle_beta 107.69
_cell_angle_gamma 90.00
loop_
_symmetry_equiv_pos_as_xyz
'x,y,z'
'-x,-y,-z'
'-x,y,-z'
'x,-y,z'
'x+1/2,y+1/2,z'
'-x+1/2,-y+1/2,-z'
'-x+1/2,y+1/2,-z'
'x+1/2,-y+1/2,z'
loop_
_atom_site_label
_atom_site_type_symbol
_atom_site_fract_x
_atom_site_fract_y
_atom_site_fract_z
Ce1 Ce 0.0000 0.0000 0.0000
Dy1 Dy 0.1325 0.0000 0.4198
Dy2 Dy 0.1677 0.2577 0.8046
Y1 Y 0.0000 0.5000 0.5000
Ho1 Ho 0.0907 0.5000 0.1745

No. 5
# CrIr3S | the Alexandria database | PBE | optimized geometry
# Energy above the most stable polymorph in this dataset: 497 meV per atom
# N(E_F): 8.568 states/eV per cell
# Formation energy (no corrections): 1.6680 eV/atom
# V: 91.00 Å³ per cell
data_CrIr3S
_chemical_formula_sum 'Cr1 Ir3 S1'
_symmetry_space_group_name_H-M 'P m -3 m'
_symmetry_Int_Tables_number 221
_symmetry_space_group_name_Hall '-P 4 2 3'
_cell_length_a 4.4979
_cell_length_b 4.4979
_cell_length_c 4.4979
_cell_angle_alpha 90.00
_cell_angle_beta 90.00
_cell_angle_gamma 90.00
loop_
_atom_site_label
_atom_site_type_symbol
_atom_site_fract_x
_atom_site_fract_y
_atom_site_fract_z
Cr1 Cr 0.0000 0.0000 0.0000
Ir1 Ir 0.0000 0.0000 0.5000
S1 S 0.5000 0.5000 0.5000

No. 6
# TaSi2Se | the Alexandria database | PBE | optimized geometry
# N(E_F): 1.700 states/eV per cell
# Formation energy (no corrections): 0.3135 eV/atom
# V: 66.98 Å³ per cell
data_TaSi2Se
_chemical_formula_sum 'Ta1 Si2 Se1'
_symmetry_space_group_name_H-M 'P 4/m m m'
_symmetry_Int_Tables_number 123
_symmetry_space_group_name_Hall '-P 4 2'
_cell_length_a 2.9127
_cell_length_b 2.9127
_cell_length_c 7.8945
_cell_angle_alpha 90.00
_cell_angle_beta 90.00
_cell_angle_gamma 90.00
loop_
_atom_site_label
_atom_site_type_symbol
_atom_site_fract_x
_atom_site_fract_y
_atom_site_fract_z
Ta1 Ta 0.0000 0.0000 0.0000
Si1 Si 0.5000 0.5000 0.2345
Se1 Se 0.0000 0.0000 0.5000

No. 7
# BaTl6Pd | the Alexandria database | PBE | optimized geometry
# ΔH_f (0 K): -0.14 eV per atom
# N(E_F): 5.329 states/eV per cell
# V: 247.62 Å³ per cell
data_BaTl6Pd
_chemical_formula_sum 'Ba1 Tl6 Pd1'
_symmetry_space_group_name_H-M 'P 4/m m m'
_symmetry_Int_Tables_number 123
_symmetry_space_group_name_Hall '-P 4 2'
_cell_length_a 5.0340
_cell_length_b 5.0340
_cell_length_c 9.7715
_cell_angle_alpha 90.00
_cell_angle_beta 90.00
_cell_angle_gamma 90.00
loop_
_atom_site_label
_atom_site_type_symbol
_atom_site_fract_x
_atom_site_fract_y
_atom_site_fract_z
Ba1 Ba 0.0000 0.0000 0.0000
Tl1 Tl 0.0000 0.5000 0.3408
Tl2 Tl 0.5000 0.5000 0.1495
Pd1 Pd 0.0000 0.0000 0.5000

No. 8
# Mg3InRh | the Alexandria database | PBE | optimized geometry
# Energy above the most stable polymorph in this dataset: 205 meV per atom
# ΔH_f (0 K): -0.06 eV per atom
# N(E_F): 1.671 states/eV per cell
# V: 122.78 Å³ per cell
data_Mg3InRh
_chemical_formula_sum 'Mg3 In1 Rh1'
_symmetry_space_group_name_H-M 'P m -3 m'
_symmetry_Int_Tables_number 221
_symmetry_space_group_name_Hall '-P 4 2 3'
_cell_length_a 4.9702
_cell_length_b 4.9702
_cell_length_c 4.9702
_cell_angle_alpha 90.00
_cell_angle_beta 90.00
_cell_angle_gamma 90.00
loop_
_atom_site_label
_atom_site_type_symbol
_atom_site_fract_x
_atom_site_fract_y
_atom_site_fract_z
Mg1 Mg 0.0000 0.0000 0.5000
In1 In 0.5000 0.5000 0.5000
Rh1 Rh 0.0000 0.0000 0.0000

No. 9
# Nd2HoThBi5 | the Alexandria database | PBE | optimized geometry
# ΔH_f (0 K): 0.06 eV per atom
# N(E_F): 7.190 states/eV per cell
# V: 393.31 Å³ per cell
data_Nd2HoThBi5
_chemical_formula_sum 'Nd2 Ho1 Th1 Bi5'
_symmetry_space_group_name_H-M 'P 4/m m m'
_symmetry_Int_Tables_number 123
_symmetry_space_group_name_Hall '-P 4 2'
_cell_length_a 5.7534
_cell_length_b 5.7534
_cell_length_c 11.8822
_cell_angle_alpha 90.00
_cell_angle_beta 90.00
_cell_angle_gamma 90.00
loop_
_atom_site_label
_atom_site_type_symbol
_atom_site_fract_x
_atom_site_fract_y
_atom_site_fract_z
Nd1 Nd 0.0000 0.0000 0.2188
Ho1 Ho 0.5000 0.5000 0.5000
Th1 Th 0.5000 0.5000 0.0000
Bi1 Bi 0.0000 0.0000 0.5000
Bi2 Bi 0.0000 0.5000 0.0000
Bi3 Bi 0.5000 0.5000 0.2579

No. 10
# TlIn6Hg12 | the Alexandria database | PBE | optimized geometry
# Energy above the most stable polymorph in this dataset: 0 meV per atom
# ΔH_f (0 K): 0.00 eV per atom
# N(E_F): 19.565 states/eV per cell
# V: 1529.65 Å³ per cell
data_TlIn6Hg12
_chemical_formula_sum 'Tl3 In18 Hg36'
_symmetry_space_group_name_H-M 'R -3'
_symmetry_Int_Tables_number 148
_symmetry_space_group_name_Hall '-R 3'
_cell_length_a 14.5475
_cell_length_b 14.5475
_cell_length_c 8.3462
_cell_angle_alpha 90.00
_cell_angle_beta 90.00
_cell_angle_gamma 120.00
loop_
_atom_site_label
_atom_site_type_symbol
_atom_site_fract_x
_atom_site_fract_y
_atom_site_fract_z
Tl1 Tl 0.0000 0.0000 0.0000
In1 In 0.0297 0.2701 0.3169
Hg1 Hg 0.0130 0.1412 0.6635
Hg2 Hg 0.0644 0.5648 0.6732

No. 11
# NaCa3Rh | the Alexandria database | PBE | optimized geometry
# Energy above the most stable polymorph in this dataset: 723 meV per atom
# ΔH_f (0 K): 0.52 eV per atom
# N(E_F): 23.711 states/eV per cell
# V: 1097.89 Å³ per cell
data_NaCa3Rh
_chemical_formula_sum 'Na4 Ca12 Rh4'
_symmetry_space_group_name_H-M 'C m c m'
_symmetry_Int_Tables_number 63
_symmetry_space_group_name_Hall '-C 2c 2'
_cell_length_a 7.1389
_cell_length_b 26.7021
_cell_length_c 5.7595
_cell_angle_alpha 90.00
_cell_angle_beta 90.00
_cell_angle_gamma 90.00
loop_
_atom_site_label
_atom_site_type_symbol
_atom_site_fract_x
_atom_site_fract_y
_atom_site_fract_z
Na1 Na 0.0000 0.1214 0.2500
Ca1 Ca 0.0000 0.0000 0.0000
Ca2 Ca 0.2345 0.2078 0.7500
Rh1 Rh 0.0000 0.2243 0.2500

No. 12
# VZn2Cr2 | the Alexandria database | PBE | optimized geometry
# ΔH_f (0 K): 0.38 eV per atom
# N(E_F): 8.431 states/eV per cell
# V: 145.88 Å³ per cell
data_VZn2Cr2
_chemical_formula_sum 'V2 Zn4 Cr4'
_symmetry_space_group_name_H-M 'P 4/m b m'
_symmetry_Int_Tables_number 127
_symmetry_space_group_name_Hall '-P 4 2ab'
_cell_length_a 6.9356
_cell_length_b 6.9356
_cell_length_c 3.0327
_cell_angle_alpha 90.00
_cell_angle_beta 90.00
_cell_angle_gamma 90.00
loop_
_atom_site_label
_atom_site_type_symbol
_atom_site_fract_x
_atom_site_fract_y
_atom_site_fract_z
V1 V 0.0000 0.0000 0.0000
Zn1 Zn 0.1246 0.3754 0.0000
Cr1 Cr 0.1771 0.6771 0.5000